First-principles (PBE) data for a relaxed structure of KLi2Zr, as listed in the Alexandria database.

Unit cell a=3.180 b=3.180 c=10.879 alpha=90.00 beta=90.00 gamma=90.00
Element x y z (fractional)
1 K 0.500 0.500 0.750
2 Li 0.000 0.000 0.458
3 Zr 0.500 0.500 0.250
4 Li 0.000 0.000 0.042

Properties
SG: P4/mmm, No. 123

First-principles (PBE) data for a relaxed structure of K2LiZr, as listed in the Alexandria database.

Unit cell a=9.743 b=9.743 c=7.675 alpha=50.60 beta=50.60 gamma=90.00
Each line ends with the local moment (μB).
Element x y z (fractional)
1 Li 0.500 0.500 0.000  0.02
2 Zr 0.000 0.000 0.000  1.57
3 K 0.588 0.125 0.250  0.03
4 K 0.162 0.625 0.250  0.03
5 K 0.375 0.412 0.750  0.03
6 K 0.875 0.838 0.750  0.03
7 Zr 0.750 0.250 0.500  1.57
8 Li 0.250 0.750 0.500  0.02

Properties
SG: I-42d, No. 122

These records have final energy values of -2.938 -2.119 eV per atom, in the order they appear.
These records have ΔE_f values of 0.431 1.045 eV per atom, in the order they appear.